[1]
{"formula": "ZnH19C17N3O4", "functional": "GGA-PBE", "state": "relaxed", "crystal_system": "monoclinic", "cell": [[7.5942, -4.9813, 0.0000], [7.5942, 4.9813, 0.0000], [-1.8407, 0.0000, 10.9325]], "species": ["C", "C", "C", "C", "C", "C", "C", "C", "C", "C", "C", "C", "C", "C", "C", "C", "C", "C", "C", "C", "C", "C", "C", "C", "C", "C", "C", "C", "C", "C", "C", "C", "C", "C", "H", "H", "H", "H", "H", "H", "H", "H", "H", "H", "H", "H", "H", "H", "H", "H", "H", "H", "H", "H", "H", "H", "H", "H", "H", "H", "H", "H", "H", "H", "H", "H", "H", "H", "H", "H", "H", "H", "N", "N", "N", "N", "N", "N", "O", "O", "O", "O", "O", "O", "O", "O", "Zn", "Zn"], "frac_coords": [[0.8811, 0.8530, 0.0108], [0.3962, 0.8292, 0.0133], [0.1010, 0.6485, 0.0953], [0.1837, 0.0580, 0.1023], [0.3154, 0.9103, 0.1176], [0.4449, 0.2681, 0.1455], [0.7121, 0.3833, 0.1673], [0.8042, 0.4919, 0.1916], [0.5472, 0.2695, 0.2672], [0.6207, 0.3963, 0.2768], [0.6811, 0.1027, 0.2778], [0.3379, 0.9068, 0.3420], [0.1791, 0.0020, 0.3686], [0.4432, 0.3033, 0.3737], [0.4590, 0.8746, 0.4403], [0.0549, 0.5802, 0.4438], [0.1499, 0.0662, 0.4875], [0.9338, 0.8501, 0.5125], [0.4198, 0.9451, 0.5562], [0.1254, 0.5410, 0.5597], [0.6967, 0.5568, 0.6263], [0.9980, 0.8209, 0.6314], [0.0932, 0.6621, 0.6580], [0.8973, 0.3189, 0.7222], [0.6037, 0.3793, 0.7232], [0.7305, 0.4528, 0.7328], [0.5081, 0.1958, 0.8084], [0.6167, 0.2879, 0.8327], [0.7319, 0.5551, 0.8545], [0.0897, 0.6846, 0.8824], [0.9420, 0.8163, 0.8977], [0.3515, 0.8990, 0.9047], [0.1708, 0.6038, 0.9867], [0.1470, 0.1189, 0.9892], [0.5001, 0.7161, 0.0215], [0.7624, 0.9482, 0.0217], [0.5168, 0.2353, 0.0669], [0.6258, 0.4215, 0.0867], [0.3491, 0.3874, 0.1360], [0.3883, 0.1813, 0.1412], [0.7960, 0.2589, 0.1461], [0.1574, 0.5819, 0.1749], [0.1160, 0.1348, 0.1764], [0.4997, 0.7598, 0.2226], [0.5240, 0.5170, 0.2865], [0.0757, 0.0237, 0.3012], [0.7038, 0.3832, 0.3605], [0.0701, 0.4887, 0.3663], [0.3852, 0.2166, 0.3666], [0.3489, 0.4254, 0.3729], [0.5837, 0.7991, 0.4246], [0.5158, 0.2961, 0.4624], [0.8612, 0.9724, 0.4892], [0.0276, 0.1388, 0.5108], [0.7039, 0.4842, 0.5376], [0.2009, 0.4163, 0.5754], [0.5746, 0.6511, 0.6271], [0.7834, 0.6148, 0.6334], [0.5113, 0.9299, 0.6337], [0.6168, 0.2962, 0.6395], [0.9763, 0.9243, 0.6988], [0.4830, 0.4760, 0.7135], [0.2402, 0.5003, 0.7774], [0.8652, 0.8840, 0.8236], [0.4181, 0.8426, 0.8251], [0.7411, 0.2040, 0.8539], [0.8187, 0.6117, 0.8588], [0.6126, 0.6509, 0.8639], [0.5785, 0.3742, 0.9133], [0.7647, 0.4832, 0.9331], [0.0518, 0.2376, 0.9783], [0.2839, 0.4999, 0.9785], [0.9566, 0.7708, 0.1087], [0.3811, 0.8421, 0.2260], [0.9585, 0.7327, 0.4193], [0.2673, 0.0415, 0.5807], [0.1579, 0.6189, 0.7740], [0.2292, 0.0434, 0.8913], [0.9537, 0.4392, 0.1905], [0.7142, 0.6443, 0.2159], [0.6378, 0.9820, 0.2488], [0.8240, 0.0853, 0.3135], [0.9147, 0.1760, 0.6865], [0.0180, 0.3622, 0.7512], [0.3557, 0.2858, 0.7841], [0.5608, 0.0463, 0.8095], [0.8401, 0.7860, 0.2539], [0.2140, 0.1599, 0.7461]]}

***

[2]
{"formula": "ZnH10C6N6O9", "functional": "GGA-PBE", "state": "relaxed", "crystal_system": "triclinic", "cell": [[-6.2363, -0.7433, -0.3296], [1.8600, -3.2296, 8.1130], [-0.0917, 11.2966, -0.2041]], "species": ["C", "C", "C", "C", "C", "C", "C", "C", "C", "C", "C", "C", "H", "H", "H", "H", "H", "H", "H", "H", "H", "H", "H", "H", "H", "H", "H", "H", "H", "H", "H", "H", "N", "N", "N", "N", "N", "N", "N", "N", "N", "N", "N", "N", "O", "O", "O", "O", "O", "O", "O", "O", "O", "O", "O", "O", "O", "O", "O", "O", "O", "O", "Zn", "Zn"], "frac_coords": [[0.7362, 0.4488, 0.0369], [0.8860, 0.7343, 0.0618], [0.9299, 0.6580, 0.2449], [0.4795, 0.6726, 0.3406], [0.6590, 0.9539, 0.3658], [0.3024, 0.1315, 0.4560], [0.6976, 0.8685, 0.5440], [0.3410, 0.0461, 0.6342], [0.5205, 0.3274, 0.6594], [0.0701, 0.3420, 0.7551], [0.1140, 0.2657, 0.9382], [0.2638, 0.5512, 0.9631], [0.3366, 0.1573, 0.0865], [0.2821, 0.4693, 0.1154], [0.0098, 0.1850, 0.1232], [0.4574, 0.7621, 0.1929], [0.3633, 0.1283, 0.2182], [0.0661, 0.8964, 0.2482], [0.0211, 0.1673, 0.2610], [0.1503, 0.8913, 0.4481], [0.7007, 0.5479, 0.4553], [0.6210, 0.3741, 0.4650], [0.3790, 0.6259, 0.5350], [0.2993, 0.4521, 0.5447], [0.8497, 0.1087, 0.5519], [0.9789, 0.8327, 0.7390], [0.9339, 0.1036, 0.7518], [0.6367, 0.8717, 0.7818], [0.5426, 0.2379, 0.8071], [0.9902, 0.8150, 0.8768], [0.7179, 0.5307, 0.8846], [0.6634, 0.8427, 0.9135], [0.2212, 0.4313, 0.0136], [0.8066, 0.4980, 0.1672], [0.9720, 0.7714, 0.1886], [0.5206, 0.7951, 0.2929], [0.5648, 0.7134, 0.4686], [0.7454, 0.9853, 0.4928], [0.2546, 0.0147, 0.5072], [0.4352, 0.2866, 0.5314], [0.4794, 0.2049, 0.7071], [0.0280, 0.2286, 0.8114], [0.1934, 0.5020, 0.8328], [0.7788, 0.5687, 0.9864], [0.9066, 0.8459, 0.0192], [0.3664, 0.7009, 0.0360], [0.4438, 0.1483, 0.1526], [0.9814, 0.2322, 0.2130], [0.3683, 0.5257, 0.2663], [0.7035, 0.0613, 0.3220], [0.2190, 0.0883, 0.3362], [0.0003, 0.7043, 0.3644], [0.7337, 0.4373, 0.4311], [0.2663, 0.5627, 0.5689], [0.9997, 0.2957, 0.6356], [0.7810, 0.9117, 0.6638], [0.2965, 0.9387, 0.6780], [0.6317, 0.4743, 0.7337], [0.0186, 0.7678, 0.7870], [0.5562, 0.8517, 0.8474], [0.6336, 0.2991, 0.9640], [0.0934, 0.1541, 0.9808], [0.7286, 0.3290, 0.2431], [0.2714, 0.6710, 0.7569]]}

***

[3]
{"formula": "ZnH12C13N2O6", "functional": "GGA-PBE", "state": "relaxed", "crystal_system": "triclinic", "cell": [[7.3548, 0.0000, 0.0000], [3.1803, 9.3422, 0.0000], [0.3703, 3.4228, 9.5128]], "species": ["C", "C", "C", "C", "C", "C", "C", "C", "C", "C", "C", "C", "C", "C", "C", "C", "C", "C", "C", "C", "C", "C", "C", "C", "C", "C", "H", "H", "H", "H", "H", "H", "H", "H", "H", "H", "H", "H", "H", "H", "H", "H", "H", "H", "H", "H", "H", "H", "H", "H", "N", "N", "N", "N", "O", "O", "O", "O", "O", "O", "O", "O", "O", "O", "O", "O", "Zn", "Zn"], "frac_coords": [[0.6814, 0.0054, 0.0211], [0.2672, 0.3744, 0.0493], [0.0725, 0.4865, 0.0589], [0.4382, 0.8850, 0.0944], [0.6220, 0.8913, 0.1155], [0.4168, 0.3306, 0.1673], [0.3589, 0.7683, 0.1896], [0.9373, 0.1599, 0.2047], [0.7610, 0.2566, 0.2261], [0.7579, 0.7758, 0.2357], [0.0947, 0.1097, 0.3008], [0.7525, 0.3035, 0.3430], [0.0739, 0.1577, 0.4164], [0.9261, 0.8423, 0.5836], [0.2475, 0.6965, 0.6570], [0.9053, 0.8903, 0.6992], [0.2421, 0.2242, 0.7643], [0.2390, 0.7434, 0.7739], [0.0627, 0.8401, 0.7953], [0.6411, 0.2317, 0.8104], [0.5832, 0.6694, 0.8327], [0.3780, 0.1087, 0.8845], [0.5618, 0.1150, 0.9056], [0.9275, 0.5135, 0.9411], [0.7328, 0.6256, 0.9507], [0.3186, 0.9946, 0.9789], [0.6282, 0.3127, 0.0261], [0.8261, 0.0054, 0.0398], [0.6756, 0.5844, 0.0529], [0.2464, 0.2671, 0.0540], [0.0895, 0.5946, 0.0547], [0.9496, 0.1242, 0.1128], [0.0183, 0.4432, 0.1619], [0.2312, 0.0305, 0.2889], [0.6219, 0.3835, 0.3618], [0.2606, 0.4074, 0.3812], [0.7777, 0.5883, 0.4546], [0.1921, 0.1205, 0.4959], [0.8079, 0.8795, 0.5041], [0.2223, 0.4117, 0.5454], [0.7394, 0.5926, 0.6188], [0.3781, 0.6165, 0.6382], [0.7688, 0.9695, 0.7111], [0.9816, 0.5568, 0.8381], [0.0504, 0.8758, 0.8872], [0.9105, 0.4054, 0.9453], [0.7536, 0.7329, 0.9460], [0.3243, 0.4156, 0.9471], [0.1739, 0.9946, 0.9602], [0.3718, 0.6873, 0.9739], [0.6012, 0.3077, 0.1301], [0.9062, 0.2543, 0.4350], [0.0938, 0.7457, 0.5650], [0.3988, 0.6923, 0.8699], [0.3171, 0.6787, 0.1412], [0.8944, 0.8168, 0.2683], [0.3784, 0.3072, 0.2925], [0.7307, 0.6508, 0.2954], [0.3211, 0.7778, 0.3115], [0.1826, 0.4652, 0.4404], [0.8174, 0.5348, 0.5596], [0.6789, 0.2222, 0.6885], [0.2692, 0.3492, 0.7046], [0.6216, 0.6928, 0.7075], [0.1056, 0.1831, 0.7317], [0.6829, 0.3213, 0.8588], [0.1248, 0.6826, 0.3932], [0.8752, 0.3174, 0.6068]]}

***

[4]
{"formula": "H6PdC9S5N4", "functional": "GGA-PBE", "state": "relaxed", "crystal_system": "monoclinic", "cell": [[-3.5183, 0.5397, -3.4262], [-9.4290, -4.3367, 8.9993], [-1.1079, 9.9045, 3.6121]], "species": ["C", "C", "C", "C", "C", "C", "C", "C", "C", "C", "C", "C", "C", "C", "C", "C", "C", "C", "H", "H", "H", "H", "H", "H", "H", "H", "H", "H", "H", "H", "N", "N", "N", "N", "N", "N", "N", "N", "Pd", "Pd", "S", "S", "S", "S", "S", "S", "S", "S", "S", "S"], "frac_coords": [[0.3669, 0.6994, 0.1895], [0.3669, 0.8006, 0.1895], [0.8625, 0.1978, 0.2351], [0.8625, 0.3022, 0.2351], [0.2205, 0.6467, 0.2774], [0.2205, 0.8533, 0.2774], [0.6234, 0.0688, 0.3509], [0.6234, 0.4312, 0.3509], [0.5629, 0.2500, 0.3733], [0.4371, 0.7500, 0.6267], [0.3766, 0.5688, 0.6491], [0.3766, 0.9312, 0.6491], [0.7795, 0.1467, 0.7226], [0.7795, 0.3533, 0.7226], [0.1375, 0.6978, 0.7649], [0.1375, 0.8022, 0.7649], [0.6331, 0.1994, 0.8105], [0.6331, 0.3006, 0.8105], [0.6397, 0.0239, 0.2662], [0.6397, 0.4761, 0.2662], [0.4182, 0.0651, 0.3841], [0.4182, 0.4349, 0.3841], [0.7710, 0.0436, 0.4251], [0.7710, 0.4564, 0.4251], [0.2290, 0.5436, 0.5749], [0.2290, 0.9564, 0.5749], [0.5818, 0.5651, 0.6159], [0.5818, 0.9349, 0.6159], [0.3603, 0.5239, 0.7338], [0.3603, 0.9761, 0.7338], [0.6810, 0.1690, 0.3190], [0.6810, 0.3310, 0.3190], [0.1015, 0.6019, 0.3503], [0.1015, 0.8981, 0.3503], [0.8985, 0.1019, 0.6497], [0.8985, 0.3981, 0.6497], [0.3190, 0.6690, 0.6810], [0.3190, 0.8310, 0.6810], [0.2523, 0.2500, 0.0274], [0.7477, 0.7500, 0.9726], [0.5427, 0.6328, 0.0840], [0.5427, 0.8672, 0.0840], [0.0398, 0.1291, 0.1389], [0.0398, 0.3709, 0.1389], [0.3284, 0.2500, 0.4760], [0.6716, 0.7500, 0.5240], [0.9602, 0.6291, 0.8611], [0.9602, 0.8709, 0.8611], [0.4573, 0.1328, 0.9160], [0.4573, 0.3672, 0.9160]]}

***

[5]
{"formula": "H12PdC6S4N2", "functional": "GGA-PBE", "state": "relaxed", "crystal_system": "triclinic", "cell": [[-0.3548, 0.8216, -6.4121], [6.2228, -3.0889, -1.3990], [-0.6089, -6.5288, -3.8371]], "species": ["C", "C", "C", "C", "C", "C", "H", "H", "H", "H", "H", "H", "H", "H", "H", "H", "H", "H", "N", "N", "Pd", "S", "S", "S", "S"], "frac_coords": [[0.1614, 0.7797, 0.0926], [0.4907, 0.6737, 0.1833], [0.1913, 0.4158, 0.2903], [0.8087, 0.5842, 0.7097], [0.5093, 0.3263, 0.8167], [0.8386, 0.2203, 0.9074], [0.6027, 0.7594, 0.0185], [0.7352, 0.1476, 0.0762], [0.9978, 0.7194, 0.1176], [0.1346, 0.8942, 0.1622], [0.5704, 0.5373, 0.2543], [0.4599, 0.7738, 0.2688], [0.5401, 0.2262, 0.7312], [0.4296, 0.4627, 0.7457], [0.8654, 0.1058, 0.8378], [0.0022, 0.2806, 0.8824], [0.2648, 0.8524, 0.9238], [0.3973, 0.2406, 0.9815], [0.2775, 0.6116, 0.1927], [0.7225, 0.3884, 0.8073], [0.0000, 0.0000, 0.5000], [0.9379, 0.3359, 0.3084], [0.3175, 0.2080, 0.4131], [0.6825, 0.7920, 0.5869], [0.0621, 0.6641, 0.6916]]}

***

[6]
{"formula": "ZnH8C2S2N6", "functional": "GGA-PBE", "state": "relaxed", "crystal_system": "monoclinic", "cell": [[6.9728, 0.0000, -0.1495], [0.0000, 14.6196, 0.0000], [-1.1842, 0.0000, 3.9393]], "species": ["C", "C", "C", "C", "H", "H", "H", "H", "H", "H", "H", "H", "H", "H", "H", "H", "H", "H", "H", "H", "N", "N", "N", "N", "N", "N", "N", "N", "N", "N", "N", "N", "S", "S", "S", "S", "Zn", "Zn"], "frac_coords": [[0.6238, 0.1285, 0.0442], [0.1238, 0.3715, 0.0443], [0.3762, 0.8715, 0.9557], [0.8762, 0.6285, 0.9558], [0.3730, 0.6610, 0.1723], [0.8730, 0.8390, 0.1723], [0.2229, 0.5284, 0.3806], [0.7229, 0.9716, 0.3806], [0.7593, 0.3720, 0.4189], [0.2593, 0.1280, 0.4189], [0.5771, 0.6296, 0.4812], [0.0771, 0.8704, 0.4812], [0.4229, 0.3704, 0.5188], [0.9229, 0.1296, 0.5188], [0.2407, 0.6280, 0.5811], [0.7407, 0.8720, 0.5811], [0.7771, 0.4716, 0.6194], [0.2771, 0.0284, 0.6194], [0.1270, 0.1610, 0.8277], [0.6270, 0.3390, 0.8277], [0.2720, 0.9315, 0.0029], [0.7720, 0.5685, 0.0029], [0.4426, 0.6062, 0.3208], [0.9426, 0.8938, 0.3208], [0.6761, 0.4253, 0.4713], [0.1761, 0.0747, 0.4713], [0.3239, 0.5747, 0.5287], [0.8239, 0.9253, 0.5287], [0.5574, 0.3938, 0.6792], [0.0574, 0.1062, 0.6792], [0.2280, 0.4315, 0.9971], [0.7280, 0.0685, 0.9971], [0.9836, 0.2908, 0.1153], [0.4836, 0.2092, 0.1153], [0.0164, 0.7092, 0.8847], [0.5164, 0.7908, 0.8847], [0.0000, 0.0000, 0.0000], [0.5000, 0.5000, 0.0000]]}

***

Number 1: total energy -557.2 eV for the cell shown. Number 2: total energy -417.9 eV for the cell shown. Number 3: total energy -444.9 eV for the cell shown. Number 4: total energy -320.6 eV for the cell shown. Number 5: total energy -137.2 eV for the cell shown. Number 6: total energy -213.1 eV for the cell shown.